Record 1
VASP calculation (PBE-GGA) on an optimized crystal structure of Sm3Tm2In.

Calculated values
density = 7.95 Mg/m³
crystal system = orthorhombic
excess energy over the best structure of this formula in the dataset = 329 meV per atom
total moment = 0.0 μB per formula unit

Lattice parameters (Å, degrees): 6.681 6.681 6.681 129.00 122.37 80.52
Atoms (fractional coordinates):
Sm 0.000 0.000 0.000
Sm 0.347 0.347 0.000
Sm 0.653 0.653 0.000
Tm 0.187 0.687 0.500
Tm 0.813 0.313 0.500
In 0.500 0.000 0.500

***

Record 2
VASP calculation (PBE-GGA) on an optimized crystal structure of SmTm2In.

Calculated values
density = 8.85 Mg/m³
crystal system = tetragonal
excess energy over the best structure of this formula in the dataset = 0 meV per atom
total moment = 0.0 μB per formula unit

Lattice parameters (Å, degrees): 4.846 4.846 4.817 90.00 90.00 90.00
Atoms (fractional coordinates):
Sm 0.000 0.000 0.000
Tm 0.000 0.500 0.500
Tm 0.500 0.000 0.500
In 0.500 0.500 0.000

***

Record 3
VASP calculation (PBE-GGA) on an optimized crystal structure of Sm2Tm3In4.

Calculated values
density = 8.06 Mg/m³
crystal system = orthorhombic
total DFT energy (no corrections) = -72.73 eV/cell
total moment = 0.0 μB per formula unit

Lattice parameters (Å, degrees): 9.034 9.034 8.979 90.00 90.00 134.60
Atoms (fractional coordinates):
Sm 0.109 0.891 0.921
Sm 0.391 0.609 0.421
Sm 0.609 0.391 0.579
Sm 0.891 0.109 0.079
Tm 0.000 0.000 0.500
Tm 0.031 0.469 0.750
Tm 0.469 0.031 0.250
Tm 0.500 0.500 0.000
Tm 0.531 0.969 0.750
Tm 0.969 0.531 0.250
In 0.182 0.818 0.541
In 0.213 0.287 0.750
In 0.287 0.213 0.250
In 0.318 0.682 0.041
In 0.682 0.318 0.959
In 0.713 0.787 0.750
In 0.787 0.713 0.250
In 0.818 0.182 0.459

***

Calculated density of states at the Fermi level, 7.83 5.64 8.02 states/eV/f.u. (same order as the records).